(a)
{"formula": "Nb4AlGa", "functional": "PBE", "state": "optimized geometry", "lattice": [[5.2142, 0.0000, 0.0000], [0.0000, 6.3376, 0.0000], [0.0000, 0.0000, 6.3376]], "species": ["Nb", "Nb", "Nb", "Nb", "Nb", "Nb", "Nb", "Nb", "Al", "Al", "Ga", "Ga"], "fractional_positions": [[0.0000, 0.1540, 0.6561], [0.0000, 0.8460, 0.3439], [0.0000, 0.3439, 0.1540], [0.0000, 0.6561, 0.8460], [0.5000, 0.8460, 0.6561], [0.5000, 0.1540, 0.3439], [0.5000, 0.6561, 0.1540], [0.5000, 0.3439, 0.8460], [0.2500, 0.5000, 0.5000], [0.7500, 0.5000, 0.5000], [0.2500, 0.0000, 0.0000], [0.7500, 0.0000, 0.0000]], "space_group": "P4/mcc, No. 124"}


(b)
{"formula": "Nb4AlGa", "functional": "PBE", "state": "optimized geometry", "lattice": [[-3.5323, -0.7971, 0.9000], [-0.2297, -3.8932, -4.3491], [1.8679, -4.1750, 3.6337]], "species": ["Nb", "Nb", "Nb", "Nb", "Al", "Ga"], "fractional_positions": [[0.5000, 0.2965, 0.7035], [0.0000, 0.7967, 0.7967], [0.0000, 0.2033, 0.2033], [0.5000, 0.7035, 0.2965], [0.5000, 0.0000, 0.0000], [0.0000, 0.5000, 0.5000]], "space_group": "Cmmm, No. 65"}


Ranking the structures above by stability puts (a) first and (b) last.